Below is an optimized crystal structure of CdAgTe2I, with properties calculated at the PBE-GGA level.

The volume is 34.12 Å³ per atom. The calculation puts the excess energy over the best structure of this formula in the dataset at 0 meV per atom. The calculation puts the final energy at -1.925 eV/atom. The total magnetization is 0.0 μB/cell.

The structure belongs to space group P4/mmm (No. 123); the cell edges are 5.530, 5.530 and 5.578 Å and the angles 90.00°, 90.00° and 90.00°. The distinct sites, in fractional coordinates, are Cd at (0.000, 0.000, 0.000), Ag at (0.500, 0.500, 0.500), Te at (0.000, 0.500, 0.500) and I at (0.500, 0.500, 0.000).

=====

Below is an optimized crystal structure of Ba2Np2Pd15, with properties calculated at the PBE-GGA level.

The volume is 19.09 Å³ per atom. The calculation puts the final energy at -5.998 eV/atom. The total magnetization is 8.1 μB/cell.

The structure belongs to space group R-3m (No. 166, hexagonal axes); the cell edges are 9.4550, 9.4550 and 14.0567 Å and the angles 90.00°, 90.00° and 120.00°. The distinct sites, in fractional coordinates, are Ba at (0.0000, 0.0000, 0.1467), Np at (0.0000, 0.0000, 0.4177), Pd at (0.0000, 0.3009, 0.5000), Pd at (0.0000, 0.5000, 0.0000) and Pd at (0.0089, 0.5045, 0.3435).

=====

Below is an optimized crystal structure of BaSr2Sc2, with properties calculated at the PBE-GGA level.

The volume is 42.16 Å³ per atom. The calculation puts the excess energy over the best structure of this formula in the dataset at 0 meV per atom. The calculation puts the final energy at -3.245 eV/atom. The total magnetization is 4.6 μB/cell.

The structure belongs to space group P4/mbm (No. 127); the cell edges are 10.323, 10.323 and 3.956 Å and the angles 90.00°, 90.00° and 90.00°. The distinct sites, in fractional coordinates, are Ba at (0.000, 0.000, 0.000), Sr at (0.180, 0.320, 0.500) and Sc at (0.105, 0.605, 0.000).